## 1
Compound: CrAs2BrCl
Source: Alexandria
Functional: PBE
Structure: relaxed

Results
The space group is P4/mmm (123). Its total magnetic moment is 0.000 μB per atom.

The structure in POSCAR format:
```
CrAs2BrCl
1.0
4.670 0.000 0.000
0.000 4.670 0.000
0.000 0.000 4.931
Cr As Br Cl
1 2 1 1
direct
0.000 0.000 0.000
0.000 0.500 0.000
0.500 0.000 0.000
0.000 0.000 0.500
0.500 0.500 0.500
```

## 2
Compound: CrAs2BrCl
Source: Alexandria
Functional: PBE
Structure: relaxed

Results
The space group is P4/mmm (123). Its total magnetic moment is 0.611 μB per atom.

The structure in POSCAR format:
```
CrAs2BrCl
1.0
4.752 0.000 0.000
0.000 4.752 0.000
0.000 0.000 6.310
Cr As Br Cl
1 2 1 1
direct
0.000 0.000 0.000
0.000 0.500 0.500
0.500 0.000 0.500
0.500 0.500 0.000
0.500 0.500 0.500
```

Which one sits at the bottom of the stability order? 2 does.

## 1
Compound: CsAs2BrCl
Source: Alexandria
Functional: PBE
Structure: relaxed

Results
The space group is P4/mmm (123). Its total magnetic moment is 0.633 μB per atom.

The structure in POSCAR format:
```
CsAs2BrCl
1.0
5.138 0.000 0.000
0.000 5.138 0.000
0.000 0.000 7.805
Cs As Br Cl
1 2 1 1
direct
0.000 0.000 0.000
0.000 0.500 0.500
0.500 0.000 0.500
0.500 0.500 0.000
0.500 0.500 0.500
```

## 2
Compound: CsAs2BrCl
Source: Alexandria
Functional: PBE
Structure: relaxed

Results
The space group is P4/mmm (123). Its total magnetic moment is 0.661 μB per atom.

The structure in POSCAR format:
```
CsAs2BrCl
1.0
6.144 0.000 0.000
0.000 6.144 0.000
0.000 0.000 6.226
Cs As Br Cl
1 2 1 1
direct
0.000 0.000 0.000
0.000 0.500 0.000
0.500 0.000 0.000
0.000 0.000 0.500
0.500 0.500 0.500
```

Which one sits at the bottom of the stability order? 2 does.